--- w ---
Entry from Alexandria: a relaxed FeTe3As crystal (PBE-GGA).

Symmetry: Pm-3m, No. 221

a b c (Å): 5.367 5.367 5.367
angles (deg): 90.00 90.00 90.00
Positions (direct):
As 0.000 0.000 0.000
Te 0.000 0.500 0.000
Te 0.000 0.000 0.500
Te 0.500 0.000 0.000
Fe 0.500 0.500 0.500

--- x ---
Entry from Alexandria: a relaxed FeTe3As crystal (PBE-GGA).

Symmetry: Pm-3m, No. 221

a b c (Å): 5.026 5.026 5.026
angles (deg): 90.00 90.00 90.00
Positions (direct):
As 0.500 0.500 0.500
Te 0.000 0.500 0.000
Te 0.000 0.000 0.500
Te 0.500 0.000 0.000
Fe 0.000 0.000 0.000

Bottom line: x, by a margin of 753 meV per atom.

--- w ---
Entry from Alexandria: a relaxed Ti2FeAs2 crystal (PBE-GGA).

Symmetry: Cmc2_1, No. 36

a b c (Å): 3.927 5.880 7.014
angles (deg): 90.00 106.25 90.00
Positions (direct):
Ti 0.996 0.713 0.992
Ti 0.802 0.437 0.605
Ti 0.198 0.937 0.395
Ti 0.004 0.213 0.008
Fe 0.400 0.081 0.801
Fe 0.600 0.581 0.199
As 0.429 0.466 0.858
As 0.828 0.937 0.655
As 0.172 0.437 0.345
As 0.571 0.966 0.142

--- x ---
Entry from Alexandria: a relaxed Ti2FeAs2 crystal (PBE-GGA).

Symmetry: I4/mmm, No. 139

a b c (Å): 4.100 4.100 6.115
angles (deg): 70.41 70.41 90.00
Positions (direct):
As 0.387 0.387 0.226
As 0.613 0.613 0.774
Fe 0.000 0.000 0.000
Ti 0.750 0.250 0.500
Ti 0.250 0.750 0.500

Bottom line: w, by a margin of 610 meV per atom.